No. 1
# ZrInRuN2, single point on PBEsol structure, DFT meta-GGA SCAN
data_ZrInRuN2
_chemical_formula_sum 'Zr1 In1 Ru1 N2'
_cell_length_a 4.121
_cell_length_b 4.121
_cell_length_c 5.164
_cell_angle_alpha 90.00
_cell_angle_beta 90.00
_cell_angle_gamma 90.00
_space_group_name_H-M_alt 'P 4/m m m'
_space_group_IT_number 123
_space_group_name_Hall '-P 4 2'
loop_
_atom_site_label
_atom_site_fract_x
_atom_site_fract_y
_atom_site_fract_z
Zr1 0.000 0.000 0.000
In1 0.500 0.500 0.500
Ru1 0.000 0.000 0.500
N1 0.000 0.500 0.000
# Uncorrected formation energy in eV per atom: 0.75
# Crystal system: tetragonal
# Uncorrected energy in eV per atom: -22.75

---

No. 2
# MnAlRe, single point on PBEsol structure, DFT meta-GGA SCAN
data_MnAlRe
_chemical_formula_sum 'Mn2 Al2 Re2'
_cell_length_a 2.867
_cell_length_b 2.867
_cell_length_c 9.254
_cell_angle_alpha 90.00
_cell_angle_beta 90.00
_cell_angle_gamma 90.00
_space_group_name_H-M_alt 'I 4 m m'
_space_group_IT_number 107
_space_group_name_Hall 'I 4 -2'
loop_
_atom_site_label
_atom_site_fract_x
_atom_site_fract_y
_atom_site_fract_z
Mn1 0.000 0.000 0.000
Al1 0.000 0.000 0.340
Re1 0.000 0.000 0.655
# ΔE to the lowest computed polymorph in meV per atom: 0
# Formation energy from the elements in kJ per mole of atoms: -29.14
# Crystal system: tetragonal
# Uncorrected energy in eV per atom: -32.67

---

No. 3
# Na3LiB, single point on PBEsol structure, DFT meta-GGA SCAN
data_Na3LiB
_chemical_formula_sum 'Na3 Li1 B1'
_cell_length_a 5.174
_cell_length_b 5.174
_cell_length_c 5.174
_cell_angle_alpha 90.00
_cell_angle_beta 90.00
_cell_angle_gamma 90.00
_space_group_name_H-M_alt 'P m -3 m'
_space_group_IT_number 221
_space_group_name_Hall '-P 4 2 3'
loop_
_atom_site_label
_atom_site_fract_x
_atom_site_fract_y
_atom_site_fract_z
Na1 0.000 0.000 0.500
Li1 0.500 0.500 0.500
B1 0.000 0.000 0.000
# Formation energy from the elements in kJ per mole of atoms: 63.83
# Crystal system: cubic
# Uncorrected energy in eV per atom: -3.83

---

No. 4
# DyH2, single point on PBEsol structure, DFT meta-GGA SCAN
data_DyH2
_chemical_formula_sum 'Dy4 H8'
_cell_length_a 5.118
_cell_length_b 5.118
_cell_length_c 5.118
_cell_angle_alpha 90.00
_cell_angle_beta 90.00
_cell_angle_gamma 90.00
_space_group_name_H-M_alt 'F m -3 m'
_space_group_IT_number 225
_space_group_name_Hall '-F 4 2 3'
loop_
_atom_site_label
_atom_site_fract_x
_atom_site_fract_y
_atom_site_fract_z
Dy1 0.000 0.000 0.000
H1 0.250 0.250 0.250
# Crystal system: cubic
# Uncorrected energy in eV per atom: -19.03

---

No. 5
# Sr3Hg, single point on PBEsol structure, DFT meta-GGA SCAN
data_Sr3Hg
_chemical_formula_sum 'Sr3 Hg1'
_cell_length_a 3.986
_cell_length_b 3.986
_cell_length_c 10.190
_cell_angle_alpha 90.00
_cell_angle_beta 90.00
_cell_angle_gamma 90.00
_space_group_name_H-M_alt 'P 4/m m m'
_space_group_IT_number 123
_space_group_name_Hall '-P 4 2'
loop_
_atom_site_label
_atom_site_fract_x
_atom_site_fract_y
_atom_site_fract_z
Sr1 0.000 0.000 0.000
Sr2 0.500 0.500 0.316
Hg1 0.000 0.000 0.500
# ΔE to the lowest computed polymorph in meV per atom: 24
# Formation energy from the elements in kJ per mole of atoms: -35.09
# Crystal system: tetragonal
# Uncorrected energy in eV per atom: -34.11

---

No. 6
# KSe2BrN, single point on PBEsol structure, DFT meta-GGA SCAN
data_KSe2BrN
_chemical_formula_sum 'K1 Se2 Br1 N1'
_cell_length_a 4.200
_cell_length_b 4.200
_cell_length_c 7.549
_cell_angle_alpha 90.00
_cell_angle_beta 90.00
_cell_angle_gamma 90.00
_space_group_name_H-M_alt 'P 4/m m m'
_space_group_IT_number 123
_space_group_name_Hall '-P 4 2'
loop_
_atom_site_label
_atom_site_fract_x
_atom_site_fract_y
_atom_site_fract_z
K1 0.000 0.000 0.000
Se1 0.000 0.500 0.500
Br1 0.500 0.500 0.000
N1 0.500 0.500 0.500
# Uncorrected formation energy in eV per atom: 0.14
# Crystal system: tetragonal
# Uncorrected energy in eV per atom: -15.30

---

No. 7
# CaAlIr2, single point on PBEsol structure, DFT meta-GGA SCAN
data_CaAlIr2
_chemical_formula_sum 'Ca2 Al2 Ir4'
_cell_length_a 2.872
_cell_length_b 4.567
_cell_length_c 10.111
_cell_angle_alpha 90.00
_cell_angle_beta 90.00
_cell_angle_gamma 90.00
_space_group_name_H-M_alt 'I m m 2'
_space_group_IT_number 44
loop_
_space_group_symop_operation_xyz
'x,y,z'
'-x,-y,z'
'-x,y,z'
'x,-y,z'
'x+1/2,y+1/2,z+1/2'
'-x+1/2,-y+1/2,z+1/2'
'-x+1/2,y+1/2,z+1/2'
'x+1/2,-y+1/2,z+1/2'
loop_
_atom_site_label
_atom_site_fract_x
_atom_site_fract_y
_atom_site_fract_z
Ca1 0.000 0.000 0.000
Al1 0.000 0.500 0.212
Ir1 0.000 0.000 0.497
Ir2 0.000 0.500 0.777
# Formation energy from the elements in kJ per mole of atoms: -37.07
# Crystal system: orthorhombic
# Uncorrected energy in eV per atom: -40.29

---

No. 8
# PrAl4, single point on PBEsol structure, DFT meta-GGA SCAN
data_PrAl4
_chemical_formula_sum 'Pr2 Al8'
_cell_length_a 4.229
_cell_length_b 4.229
_cell_length_c 11.393
_cell_angle_alpha 90.00
_cell_angle_beta 90.00
_cell_angle_gamma 90.00
_space_group_name_H-M_alt 'I 4/m m m'
_space_group_IT_number 139
_space_group_name_Hall '-I 4 2'
loop_
_atom_site_label
_atom_site_fract_x
_atom_site_fract_y
_atom_site_fract_z
Pr1 0.000 0.000 0.000
Al1 0.000 0.000 0.389
Al2 0.000 0.500 0.250
# Formation energy from the elements in kJ per mole of atoms: -32.52
# Crystal system: tetragonal
# Uncorrected energy in eV per atom: -15.20

---

> The highest uncorrected energy belongs to which entry?

Na3LiB

---

> What is the formula in the sixth record?

KSe2BrN